1.
Density functional theory data (GGA-PBE) for Ce8Ir3Br4O after structural relaxation.

The calculation puts the total energy at -105.55 eV/f.u.

The structure belongs to space group R-3m (No. 166, hexagonal axes); the cell edges are 7.9737, 7.9737 and 23.0463 Å and the angles 90.00°, 90.00° and 120.00°. The distinct sites, in fractional coordinates, are Ce at (0.0000, 0.0000, 0.2319), Ce at (0.0276, 0.5138, 0.2317), Ir at (0.0000, 0.5000, 0.5000), Br at (0.0000, 0.0000, 0.0000), Br at (0.0000, 0.5000, 0.0000) and O at (0.0000, 0.0000, 0.5000).

2.
Density functional theory data (GGA-PBE) for Ce8Ir3OsBr4 after structural relaxation.

The calculation puts the total energy at -107.72 eV/f.u.

The structure belongs to space group R-3m (No. 166, hexagonal axes); the cell edges are 8.2041, 8.2041 and 22.9559 Å and the angles 90.00°, 90.00° and 120.00°. The distinct sites, in fractional coordinates, are Ce at (0.0000, 0.0000, 0.2320), Ce at (0.0040, 0.5020, 0.2322), Ir at (0.0000, 0.5000, 0.5000), Os at (0.0000, 0.0000, 0.5000), Br at (0.0000, 0.0000, 0.0000) and Br at (0.0000, 0.5000, 0.0000).

3.
Density functional theory data (GGA-PBE) for Ce4IrOsBr2 after structural relaxation.

The calculation puts the total energy at -54.43 eV/f.u.

The structure belongs to space group P2/m (No. 10); the cell edges are 7.091, 4.089 and 7.999 Å and the angles 90.00°, 107.17° and 90.00°. The distinct sites, in fractional coordinates, are Ce at (0.228, 0.000, 0.196), Ce at (0.265, 0.500, 0.804), Ir at (0.500, 0.000, 0.000), Os at (0.000, 0.500, 0.000), Br at (0.000, 0.000, 0.500) and Br at (0.500, 0.500, 0.500).

4.
Density functional theory data (GGA-PBE) for Ce8PIr3Br4 after structural relaxation.

The calculation puts the total energy at -103.87 eV/f.u.

The structure belongs to space group R-3m (No. 166, hexagonal axes); the cell edges are 8.2680, 8.2680 and 22.4331 Å and the angles 90.00°, 90.00° and 120.00°. The distinct sites, in fractional coordinates, are Ce at (0.0000, 0.0000, 0.2329), Ce at (0.0025, 0.5013, 0.7658), P at (0.0000, 0.0000, 0.5000), Ir at (0.0000, 0.5000, 0.5000), Br at (0.0000, 0.0000, 0.0000) and Br at (0.0000, 0.5000, 0.0000).